# 1
A plane-wave DFT calculation with meta-GGA SCAN was carried out for a crystal of Li2ZnP relaxed with PBEsol.

The structure in extended XYZ format:
```
4
Lattice="3.242 0.000 0.000 0.000 3.242 0.000 0.000 0.000 5.441" Properties=species:S:1:pos:R:3 pbc="T T T"
P 0.000 0.000 2.717
Li 1.621 1.621 1.463
Zn 1.621 1.621 4.046
Li 0.000 0.000 5.376
```

Results
The value obtained for the density of states at the Fermi level is 0.3085 states/eV per atom. For the magnetization, the calculation gives 0.000 μB/atom. As for the energy relative to the elements: -208 meV/atom.



# 2
A plane-wave DFT calculation with meta-GGA SCAN was carried out for a crystal of Ti2CN relaxed with PBEsol.

The structure in extended XYZ format:
```
4
Lattice="5.218 0.003 0.002 4.351 2.879 0.002 4.351 1.311 2.564" Properties=species:S:1:pos:R:3 pbc="T T T"
Ti 3.487 1.050 0.643
N 6.960 2.096 1.284
C 0.000 0.000 0.000
Ti 10.433 3.142 1.924
```

Results
The value obtained for the density of states at the Fermi level is 0.2877 states/eV per atom. For the magnetization, the calculation gives 0.000 μB/atom. The value obtained for the uncorrected formation energy is -1.493 eV per atom.



# 3
A plane-wave DFT calculation with meta-GGA SCAN was carried out for a crystal of NbSiRhBr2 relaxed with PBEsol.

The structure in extended XYZ format:
```
5
Lattice="4.870 0.000 0.000 0.000 4.941 0.000 0.000 0.000 4.941" Properties=species:S:1:pos:R:3 pbc="T T T"
Si 2.435 2.471 2.471
Br 0.000 0.000 2.471
Nb 0.000 0.000 0.000
Rh 2.435 0.000 0.000
Br 0.000 2.471 0.000
```

Results
The value obtained for the density of states at the Fermi level is 0.6863 states/eV per atom. For the magnetization, the calculation gives 0.162 μB/atom. The value obtained for the uncorrected formation energy is 0.823 eV per atom.



# 4
A plane-wave DFT calculation with meta-GGA SCAN was carried out for a crystal of Ta4Co5 relaxed with PBEsol.

The structure in extended XYZ format:
```
9
Lattice="3.726 0.000 0.000 1.863 5.658 0.000 1.863 0.000 5.658" Properties=species:S:1:pos:R:3 pbc="T T T"
Co 1.863 0.000 1.823
Ta 1.863 3.930 1.728
Ta 1.863 1.728 3.930
Co 1.863 1.823 0.000
Ta 3.726 1.728 1.728
Co 0.000 0.000 0.000
Co 3.726 0.000 3.835
Ta 3.726 3.930 3.930
Co 3.726 3.835 0.000
```

Results
The value obtained for the density of states at the Fermi level is 0.6319 states/eV per atom. For the magnetization, the calculation gives 0.188 μB/atom. As for the energy relative to the elements: -59 meV/atom.